No. 1
The following is a PBE-GGA calculation of a relaxed structure of Sm2CdPb4, from Alexandria via LeMat-Bulk.

Computed properties:
M_tot: 0.0 μB/f.u.
Energy of formation: -0.316 eV/atom
DFT total energy: -3.9140 eV/atom

```
data_Sm2CdPb4
_cell_length_a 6.7742
_cell_length_b 6.7742
_cell_length_c 9.3040
_cell_angle_alpha 90.00
_cell_angle_beta 90.00
_cell_angle_gamma 90.00
_space_group_name_H-M_alt 'I 4/m m m'
_space_group_IT_number 139
_space_group_name_Hall '-I 4 2'
loop_
_atom_site_label
_atom_site_fract_x
_atom_site_fract_y
_atom_site_fract_z
Sm1 0.0000 0.5000 0.0000
Cd1 0.0000 0.0000 0.0000
Pb1 0.2500 0.2500 0.2500
```

No. 2
The following is a PBE-GGA calculation of a relaxed structure of Sm2CdPb4, from Alexandria via LeMat-Bulk.

Computed properties:
M_tot: 0.0 μB/f.u.
Energy of formation: -0.200 eV/atom
DFT total energy: -3.7981 eV/atom

```
data_Sm2CdPb4
_cell_length_a 11.4182
_cell_length_b 4.8323
_cell_length_c 9.3397
_cell_angle_alpha 90.00
_cell_angle_beta 121.40
_cell_angle_gamma 90.00
_space_group_name_H-M_alt 'C 1 2/m 1'
_space_group_IT_number 12
loop_
_space_group_symop_operation_xyz
'x,y,z'
'-x,-y,-z'
'-x,y,-z'
'x,-y,z'
'x+1/2,y+1/2,z'
'-x+1/2,-y+1/2,-z'
'-x+1/2,y+1/2,-z'
'x+1/2,-y+1/2,z'
loop_
_atom_site_label
_atom_site_fract_x
_atom_site_fract_y
_atom_site_fract_z
Sm1 0.1816 0.0000 0.1498
Cd1 0.0000 0.5000 0.5000
Pb1 0.0373 0.5000 0.8573
Pb2 0.2007 0.0000 0.5629
```

Number 1 is which compound?
Sm2CdPb4